Pu3HRh: optimized geometry, GGA-PBE.

Output
Its total energy is -10.519 eV/atom. As for the density: 17.3 g/cm³.

```
data_Pu3HRh
_space_group_name_H-M_alt 'P 1'
_space_group_IT_number 1
_cell_length_a 5.976
_cell_length_b 5.976
_cell_length_c 5.976
_cell_angle_alpha 62.97
_cell_angle_beta 62.97
_cell_angle_gamma 62.97
loop_
_space_group_symop_operation_xyz
'x,y,z'
loop_
_atom_site_label
_atom_site_type_symbol
_atom_site_fract_x
_atom_site_fract_y
_atom_site_fract_z
Pu1 Pu 0.167 0.714 0.274
Pu2 Pu 0.274 0.167 0.714
Pu3 Pu 0.286 0.726 0.833
Pu4 Pu 0.714 0.274 0.167
Pu5 Pu 0.726 0.833 0.286
Pu6 Pu 0.833 0.286 0.726
H1 H 0.314 0.314 0.314
H2 H 0.686 0.686 0.686
Rh1 Rh 0.193 0.193 0.193
Rh2 Rh 0.807 0.807 0.807
```